# 1
Entry from the Open Quantum Materials Database: an optimized crystal structure of CsGdNiSe3 (GGA-PBE).

Output
E above lowest polymorph in meV per atom: 74.3
Total moment in Bohr magnetons per cell: 0.5

Cell: 11.9933 4.3357 12.8526 Å, 90.00 90.00 90.00°
Space group Pnma (No. 62)
Asymmetric unit:
Cs1 0.1530 0.2500 0.0081 [4 per cell]
Gd1 0.0028 0.7500 0.3483 [4 per cell]
Ni1 0.2310 0.2500 0.2982 [4 per cell]
Se1 0.0711 0.7500 0.7865 [4 per cell]
Se2 0.1207 0.2500 0.4558 [4 per cell]
Se3 0.2093 0.7500 0.2305 [4 per cell]

***

# 2
Entry from the Open Quantum Materials Database: an optimized crystal structure of LaAg2Ge2 (GGA-PBE).

Output
Total moment in Bohr magnetons per cell: 0.0
Total DFT energy (no corrections) in eV/atom: -4.4430

Cell: 4.3978 4.3978 11.0354 Å, 90.00 90.00 90.00°
Space group I4/mmm (No. 139)
Asymmetric unit:
La1 0.0000 0.0000 0.0000 [2 per cell]
Ag1 0.0000 0.5000 0.2500 [4 per cell]
Ge1 0.0000 0.0000 0.3878 [4 per cell]

***

# 3
Entry from the Open Quantum Materials Database: an optimized crystal structure of Gd3Er2Lu3 (GGA-PBE).

Output
E above lowest polymorph in meV per atom: 2.6
Total moment in Bohr magnetons per cell: 0.2
Energy of formation in eV/atom: 0.01

Cell: 7.1446 7.1446 5.5655 Å, 90.00 90.00 120.00°
Space group P-6m2 (No. 187)
Asymmetric unit:
Gd1 0.0005 0.5002 0.0000 [3 per cell]
Er1 0.0000 0.0000 0.0000 [1 per cell]
Er2 0.3333 0.6667 0.5000 [1 per cell]
Lu1 0.3341 0.1670 0.5000 [3 per cell]

***

# 4
Entry from the Open Quantum Materials Database: an optimized crystal structure of LuBeFeAs (GGA-PBE).

Output
E above lowest polymorph in meV per atom: 190.4
Total moment in Bohr magnetons per cell: 7.5

Cell: 6.3178 6.3178 6.3178 Å, 90.00 90.00 90.00°
Space group F-43m (No. 216)
Asymmetric unit:
Lu1 0.0000 0.0000 0.0000 [4 per cell]
Be1 0.0000 0.0000 0.5000 [4 per cell]
Fe1 0.2500 0.2500 0.2500 [4 per cell]
As1 0.2500 0.2500 0.7500 [4 per cell]

***

# 5
Entry from the Open Quantum Materials Database: an optimized crystal structure of TbPr2Si4Au4 (GGA-PBE).

Output
Total moment in Bohr magnetons per cell: 0.0
Total DFT energy (no corrections) in eV/atom: -5.1894

Cell: 4.2352 4.3009 25.1687 Å, 90.00 90.00 90.00°
Space group Immm (No. 71)
Asymmetric unit:
Tb1 0.0000 0.0000 0.0000 [2 per cell]
Pr1 0.0000 0.5000 0.1473 [4 per cell]
Si1 0.0000 0.0000 0.4534 [4 per cell]
Si2 0.0000 0.5000 0.3092 [4 per cell]
Au1 0.0000 0.0000 0.2508 [4 per cell]
Au2 0.0000 0.5000 0.4073 [4 per cell]

***

# 6
Entry from the Open Quantum Materials Database: an optimized crystal structure of AcGaMo (GGA-PBE).

Output
E above lowest polymorph in meV per atom: 0.0
Total moment in Bohr magnetons per cell: 0.1

Cell: 6.6421 6.6421 6.6421 Å, 90.00 90.00 90.00°
Space group F-43m (No. 216)
Asymmetric unit:
Ac1 0.0000 0.0000 0.0000 [4 per cell]
Ga1 0.0000 0.0000 0.5000 [4 per cell]
Mo1 0.2500 0.2500 0.2500 [4 per cell]

***

# 7
Entry from the Open Quantum Materials Database: an optimized crystal structure of DyPbAuSe3 (GGA-PBE).

Output
E above lowest polymorph in meV per atom: 41.4
Total moment in Bohr magnetons per cell: 0.0

Cell: 12.6733 4.1778 11.4671 Å, 90.00 90.00 90.00°
Space group Pnma (No. 62)
Asymmetric unit:
Dy1 0.0058 0.2500 0.1793 [4 per cell]
Pb1 0.2063 0.2500 0.4682 [4 per cell]
Au1 0.2011 0.7500 0.2315 [4 per cell]
Se1 0.0334 0.7500 0.3511 [4 per cell]
Se2 0.1089 0.2500 0.9510 [4 per cell]
Se3 0.1874 0.7500 0.6757 [4 per cell]

***

# 8
Entry from the Open Quantum Materials Database: an optimized crystal structure of RbHfHg3Te4 (GGA-PBE).

Output
Total moment in Bohr magnetons per cell: 0.0
Total DFT energy (no corrections) in eV/atom: -3.0360

Cell: 7.3931 7.3931 7.3931 Å, 90.00 90.00 90.00°
Space group P-43m (No. 215)
Asymmetric unit:
Rb1 0.0000 0.0000 0.0000 [1 per cell]
Hf1 0.5000 0.5000 0.5000 [1 per cell]
Hg1 0.0000 0.5000 0.5000 [3 per cell]
Te1 0.2857 0.2857 0.2857 [4 per cell]